Entry 1:
First-principles (PBE-GGA) data for a relaxed Rb2SiHgTe4 crystal, as listed in Alexandria via LeMat-Bulk.

Output
**Formation energy without anion corrections**: -0.228 eV/atom
**Energy**: -44.11 eV for the cell shown
**Space-group type**: No. 15
**Total moment**: 0.0 μB/cell

Lattice parameters (Å, degrees): 9.7571 9.7571 9.0690 109.23 109.23 105.15
Positions (direct):
Rb 0.0000 0.0000 0.0000
Rb 0.0000 0.0000 0.5000
Rb 0.0000 0.5000 0.0000
Rb 0.5000 0.0000 0.5000
Si 0.0000 0.5000 0.5000
Si 0.5000 0.0000 0.0000
Hg 0.5000 0.5000 0.0000
Hg 0.5000 0.5000 0.5000
Te 0.1603 0.7193 0.4649
Te 0.2111 0.3578 0.4996
Te 0.2807 0.8397 0.0351
Te 0.3578 0.2111 0.9996
Te 0.6422 0.7889 0.0004
Te 0.7193 0.1603 0.9649
Te 0.7889 0.6422 0.5004
Te 0.8397 0.2807 0.5351

---

Entry 2:
First-principles (PBE-GGA) data for a relaxed Cd2IrW crystal, as listed in Alexandria via LeMat-Bulk.

Output
**Energy relative to the elements**: 504.5 meV/atom
**Energy**: -21.63 eV for the cell shown
**Space-group type**: No. 119
**Total moment**: 0.7 μB/cell

Lattice parameters (Å, degrees): 4.7824 4.7824 4.7824 125.75 125.75 80.31
Positions (direct):
Cd 0.0000 0.0000 0.0000
Cd 0.7500 0.2500 0.5000
Ir 0.2500 0.7500 0.5000
W 0.5000 0.5000 0.0000

---

Entry 3:
First-principles (PBE-GGA) data for a relaxed CaAcCuPd crystal, as listed in Alexandria via LeMat-Bulk.

Output
**Energy relative to the elements**: -453.0 meV/atom
**Energy**: -17.21 eV for the cell shown
**Space-group type**: No. 38
**Total moment**: 0.0 μB/cell

Lattice parameters (Å, degrees): 4.4725 5.9851 5.9851 41.18 90.00 90.00
Positions (direct):
Ca 0.0000 0.0000 0.0000
Ac 0.5000 0.7219 0.7219
Cu 0.0000 0.2964 0.2964
Pd 0.5000 0.4335 0.4335

---

Entry 4:
First-principles (PBE-GGA) data for a relaxed VIn2SbPd crystal, as listed in Alexandria via LeMat-Bulk.

Output
**Formation energy without anion corrections**: 1.019 eV/atom
**Energy**: -18.81 eV for the cell shown
**Space-group type**: No. 123
**Total moment**: 3.2 μB/cell

Lattice parameters (Å, degrees): 5.5955 5.5955 5.0522 90.00 90.00 90.00
Positions (direct):
V 0.0000 0.0000 0.0000
In 0.0000 0.5000 0.5000
In 0.5000 0.0000 0.5000
Sb 0.0000 0.0000 0.5000
Pd 0.5000 0.5000 0.0000

---

Entry 5:
First-principles (PBE-GGA) data for a relaxed La2Pm2AlGa4 crystal, as listed in Alexandria via LeMat-Bulk.

Output
**Energy relative to the elements**: -330.9 meV/atom
**Energy**: -38.18 eV for the cell shown
**Space-group type**: No. 139
**Total moment**: 0.0 μB/cell

Lattice parameters (Å, degrees): 6.8080 6.8080 6.8080 116.38 116.38 96.38
Positions (direct):
La 0.2500 0.7500 0.5000
La 0.7500 0.2500 0.5000
Pm 0.1841 0.1841 0.0000
Pm 0.8159 0.8159 0.0000
Al 0.5000 0.5000 0.0000
Ga 0.2547 0.2547 0.5094
Ga 0.2547 0.7453 0.0000
Ga 0.7453 0.2547 0.0000
Ga 0.7453 0.7453 0.4906

---

Entry 6:
First-principles (PBE-GGA) data for a relaxed Cu4RhAu3 crystal, as listed in Alexandria via LeMat-Bulk.

Output
**Energy relative to the elements**: -23.2 meV/atom
**Energy**: -33.75 eV for the cell shown
**Space-group type**: No. 139
**Total moment**: 0.0 μB/cell

Lattice parameters (Å, degrees): 7.5405 7.5405 7.5405 148.55 148.55 45.08
Positions (direct):
Cu 0.1215 0.6215 0.5000
Cu 0.3785 0.8785 0.5000
Cu 0.6215 0.1215 0.5000
Cu 0.8785 0.3785 0.5000
Rh 0.0000 0.0000 0.0000
Au 0.2473 0.2473 0.0000
Au 0.5000 0.5000 0.0000
Au 0.7527 0.7527 0.0000

---

Entry 7:
First-principles (PBE-GGA) data for a relaxed NbCdCu2 crystal, as listed in Alexandria via LeMat-Bulk.

Output
**Energy relative to the elements**: 193.0 meV/atom
**Energy**: -18.41 eV for the cell shown
**Space-group type**: No. 166
**Total moment**: 0.0 μB/cell

Lattice parameters (Å, degrees): 9.3780 9.3780 9.3780 17.44 17.44 17.44
Positions (direct):
Nb 0.0000 0.0000 0.0000
Cd 0.5000 0.5000 0.5000
Cu 0.2517 0.2517 0.2517
Cu 0.7483 0.7483 0.7483

---

Entry 8:
First-principles (PBE-GGA) data for a relaxed Na2Tl2BiPb2 crystal, as listed in Alexandria via LeMat-Bulk.

Output
**Energy relative to the elements**: -24.4 meV/atom
**Energy**: -18.84 eV for the cell shown
**Space-group type**: No. 12
**Total moment**: 0.0 μB/cell

Lattice parameters (Å, degrees): 6.1057 6.1057 11.4205 102.20 102.20 32.86
Positions (direct):
Na 0.1453 0.1453 0.0778
Na 0.8547 0.8547 0.9222
Tl 0.0896 0.0896 0.7738
Tl 0.9104 0.9104 0.2262
Bi 0.5000 0.5000 0.5000
Pb 0.2082 0.2082 0.3699
Pb 0.7918 0.7918 0.6301

---

Entry 9:
First-principles (PBE-GGA) data for a relaxed Be2RhPb crystal, as listed in Alexandria via LeMat-Bulk.

Output
**Energy relative to the elements**: 225.7 meV/atom
**Energy**: -17.61 eV for the cell shown
**Space-group type**: No. 119
**Total moment**: 0.0 μB/cell

Lattice parameters (Å, degrees): 4.8140 4.8140 4.8140 134.13 134.13 66.88
Positions (direct):
Be 0.0000 0.0000 0.0000
Be 0.7500 0.2500 0.5000
Rh 0.5000 0.5000 0.0000
Pb 0.2500 0.7500 0.5000

---

Entry 10:
First-principles (PBE-GGA) data for a relaxed Y3Ge2Rh2 crystal, as listed in Alexandria via LeMat-Bulk.

Output
**Energy relative to the elements**: -936.4 meV/atom
**Energy**: -199.54 eV for the cell shown
**Space-group type**: No. 57
**Total moment**: 0.0 μB/cell

Lattice parameters (Å, degrees): 5.6180 7.7980 13.3234 90.00 90.00 90.00
Positions (direct):
Y 0.1288 0.2389 0.2500
Y 0.1288 0.2611 0.7500
Y 0.3573 0.6030 0.1009
Y 0.3573 0.6030 0.3991
Y 0.3573 0.8970 0.6009
Y 0.3573 0.8970 0.8991
Y 0.6427 0.1030 0.1009
Y 0.6427 0.1030 0.3991
Y 0.6427 0.3970 0.6009
Y 0.6427 0.3970 0.8991
Y 0.8712 0.7389 0.2500
Y 0.8712 0.7611 0.7500
Ge 0.1608 0.2500 0.0000
Ge 0.1608 0.2500 0.5000
Ge 0.3699 0.6128 0.7500
Ge 0.3699 0.8872 0.2500
Ge 0.6301 0.1128 0.7500
Ge 0.6301 0.3872 0.2500
Ge 0.8392 0.7500 0.0000
Ge 0.8392 0.7500 0.5000
Rh 0.1274 0.5430 0.5920
Rh 0.1274 0.5430 0.9080
Rh 0.1274 0.9570 0.0920
Rh 0.1274 0.9570 0.4080
Rh 0.8726 0.0430 0.5920
Rh 0.8726 0.0430 0.9080
Rh 0.8726 0.4570 0.0920
Rh 0.8726 0.4570 0.4080

---

Entry 11:
First-principles (PBE-GGA) data for a relaxed CaPt2Br crystal, as listed in Alexandria via LeMat-Bulk.

Output
**Formation energy without anion corrections**: -0.478 eV/atom
**Energy**: -17.67 eV for the cell shown
**Space-group type**: No. 65
**Total moment**: 0.0 μB/cell

Lattice parameters (Å, degrees): 3.9334 3.9334 5.4733 90.00 90.00 90.60
Positions (direct):
Ca 0.0000 0.0000 0.0000
Pt 0.2385 0.7615 0.5000
Pt 0.7615 0.2385 0.5000
Br 0.5000 0.5000 0.0000

---

Entry 12:
First-principles (PBE-GGA) data for a relaxed Pr2MnAl3Pt4 crystal, as listed in Alexandria via LeMat-Bulk.

Output
**Energy relative to the elements**: -968.4 meV/atom
**Energy**: -63.80 eV for the cell shown
**Space-group type**: No. 115
**Total moment**: 3.5 μB/cell

Lattice parameters (Å, degrees): 4.3114 4.3114 10.4607 90.00 90.00 90.00
Positions (direct):
Pr 0.0000 0.5000 0.2482
Pr 0.5000 0.0000 0.7518
Mn 0.0000 0.0000 0.5000
Al 0.0000 0.5000 0.8757
Al 0.5000 0.0000 0.1243
Al 0.5000 0.5000 0.5000
Pt 0.0000 0.0000 0.0000
Pt 0.0000 0.5000 0.6372
Pt 0.5000 0.0000 0.3628
Pt 0.5000 0.5000 0.0000

---

The highest energy belongs to which entry?
CaAcCuPd

---

Which formula does entry 6 have?
Cu4RhAu3